DFT (PBE+U) results for a relaxed structure of Rb3Na2MnF8.

Structure (extended XYZ):
```
14
Lattice="-1.144 1.707 -5.624 -1.709 -5.418 1.891 -7.182 3.104 2.403" Properties=species:S:1:pos:R:3 pbc="T T T"
Rb -6.122 -1.055 0.925
Rb -3.913 0.447 -2.256
Rb 0.000 0.000 0.000
Na -3.033 -2.390 -0.108
Na -7.003 1.782 -1.222
Mn -3.591 1.552 1.201
F -8.376 -0.081 1.679
F -1.659 -0.527 -3.010
F -4.219 -3.224 1.627
F -5.817 2.616 -2.958
F -3.282 -0.253 0.591
F -6.754 -0.354 -1.921
F -4.846 -2.288 -1.456
F -5.189 1.681 0.126
```

SG   No. 164
Raw total energy   -4.4953 eV/atom